No. 1
A plane-wave DFT calculation with GGA-PBE was carried out for a relaxed structure of UCl.

Values from the calculation:
**Mass density**: 11.0 Mg/m³
**DFT total energy**: -14.4 eV per cell
**Total magnetic moment**: 2.7 μB per cell

Cell: 3.2594 3.2594 4.5049 Å, 90.00 90.00 120.00°
Positions (direct):
U  0.0000  0.0000  0.0000
Cl  0.3333  0.6667  0.5000

No. 2
A plane-wave DFT calculation with GGA-PBE was carried out for a relaxed structure of LuNi3.

Values from the calculation:
**Mass density**: 10.4 Mg/m³
**Formation energy from the elements**: -0.235 eV/atom
**DFT total energy**: -22.2 eV per cell
**Total magnetic moment**: 0.0 μB per cell

Cell: 4.2987 4.2987 4.2987 Å, 60.00 60.00 60.00°
Positions (direct):
Lu  0.0000  0.0000  0.0000
Ni  0.2500  0.2500  0.2500
Ni  0.5000  0.5000  0.5000
Ni  0.7500  0.7500  0.7500

No. 3
A plane-wave DFT calculation with GGA-PBE was carried out for a relaxed structure of Bi2AuO4.

Values from the calculation:
**Mass density**: 9.4 Mg/m³
**Relative energy among the computed polymorphs**: 1.69 eV/f.u.
**DFT total energy**: -70.2 eV per cell

Cell: 6.9851 6.9851 6.9851 Å, 60.00 60.00 60.00°
Positions (direct):
Bi  0.0000  0.0000  0.0000
Bi  0.0000  0.0000  0.5000
Bi  0.0000  0.5000  0.0000
Bi  0.5000  0.0000  0.0000
Au  0.3750  0.3750  0.3750
Au  0.6250  0.6250  0.6250
O  0.2154  0.7615  0.7615
O  0.2385  0.2385  0.2385
O  0.2385  0.2385  0.7846
O  0.2385  0.7846  0.2385
O  0.7615  0.2154  0.7615
O  0.7615  0.7615  0.2154
O  0.7615  0.7615  0.7615
O  0.7846  0.2385  0.2385

No. 4
A plane-wave DFT calculation with GGA-PBE was carried out for a relaxed structure of PrGe2Pd.

Values from the calculation:
**Mass density**: 7.5 Mg/m³
**DFT total energy**: -43.4 eV per cell
**Total magnetic moment**: 0.0 μB per cell

Cell: 4.3079 6.3685 6.3228 Å, 90.00 90.00 90.00°
Positions (direct):
Pr  0.0000  0.1410  0.0000
Pr  0.5000  0.8590  0.5000
Ge  0.0000  0.2034  0.5177
Ge  0.0000  0.6041  0.7394
Ge  0.5000  0.3959  0.2394
Ge  0.5000  0.7966  0.0177
Pd  0.0000  0.6229  0.1542
Pd  0.5000  0.3771  0.6542

No. 5
A plane-wave DFT calculation with GGA-PBE was carried out for a relaxed structure of Gd2Ag2Te3Se.

Values from the calculation:
**Mass density**: 7.1 Mg/m³
**DFT total energy**: -35.9 eV per cell
**Total magnetic moment**: 0.0 μB per cell

Cell: 7.0708 7.0708 4.6434 Å, 90.43 90.43 92.41°
Positions (direct):
Gd  0.0000  0.0000  0.0000
Gd  0.5287  0.5287  0.3869
Ag  0.0250  0.5172  0.2125
Ag  0.5172  0.0250  0.2125
Te  0.2184  0.2184  0.4913
Te  0.3164  0.7252  0.9036
Te  0.7252  0.3164  0.9036
Se  0.8174  0.8174  0.4744